Entry 1:
# Y2Be3ZnCu12, optimized geometry, DFT PBE
# Formation energy in eV per atom: 0.308
# Crystal system: trigonal
data_Y2Be3ZnCu12
_cell_length_a 7.5135
_cell_length_b 7.5135
_cell_length_c 17.4898
_cell_angle_alpha 90.00
_cell_angle_beta 90.00
_cell_angle_gamma 120.00
_space_group_name_H-M_alt 'R -3 m'
_space_group_IT_number 166
_space_group_name_Hall '-R 3 2"'
loop_
_atom_site_label
_atom_site_type_symbol
_atom_site_fract_x
_atom_site_fract_y
_atom_site_fract_z
Y1 Y 0.0000 0.0000 0.1034
Be1 Be 0.0000 0.5000 0.0000
Zn1 Zn 0.0000 0.0000 0.5000
Cu1 Cu 0.0126 0.5063 0.8785
Cu2 Cu 0.0408 0.5204 0.3584

Entry 2:
# Hg5Au, optimized geometry, DFT PBE
# Formation energy in eV per atom: 0.057
# Crystal system: monoclinic
data_Hg5Au
_cell_length_a 15.9334
_cell_length_b 3.2005
_cell_length_c 6.4618
_cell_angle_alpha 90.00
_cell_angle_beta 108.52
_cell_angle_gamma 90.00
_space_group_name_H-M_alt 'C 1 m 1'
_space_group_IT_number 8
_space_group_name_Hall 'C -2y'
loop_
_atom_site_label
_atom_site_type_symbol
_atom_site_fract_x
_atom_site_fract_y
_atom_site_fract_z
Hg1 Hg 0.0000 0.0000 0.0000
Hg2 Hg 0.0754 0.5000 0.6468
Hg3 Hg 0.2213 0.5000 0.0770
Hg4 Hg 0.3074 0.5000 0.7118
Hg5 Hg 0.3944 0.0000 0.3288
Au1 Au 0.1601 0.0000 0.3843

Entry 3:
# NiPN3, optimized geometry, DFT PBE
# ΔE_f (raw) in meV per atom: 1988.4
# Crystal system: cubic
data_NiPN3
_cell_length_a 3.6642
_cell_length_b 3.6642
_cell_length_c 3.6642
_cell_angle_alpha 90.00
_cell_angle_beta 90.00
_cell_angle_gamma 90.00
_space_group_name_H-M_alt 'P m -3 m'
_space_group_IT_number 221
_space_group_name_Hall '-P 4 2 3'
loop_
_atom_site_label
_atom_site_type_symbol
_atom_site_fract_x
_atom_site_fract_y
_atom_site_fract_z
Ni1 Ni 0.0000 0.0000 0.0000
P1 P 0.5000 0.5000 0.5000
N1 N 0.0000 0.0000 0.5000

Entry 4:
# TaV2SnN, optimized geometry, DFT PBE
# ΔE_f (raw) in meV per atom: 2304.9
# Crystal system: tetragonal
data_TaV2SnN
_cell_length_a 4.5982
_cell_length_b 4.5982
_cell_length_c 5.3626
_cell_angle_alpha 90.00
_cell_angle_beta 90.00
_cell_angle_gamma 90.00
_space_group_name_H-M_alt 'P 4/m m m'
_space_group_IT_number 123
_space_group_name_Hall '-P 4 2'
loop_
_atom_site_label
_atom_site_type_symbol
_atom_site_fract_x
_atom_site_fract_y
_atom_site_fract_z
Ta1 Ta 0.0000 0.0000 0.0000
V1 V 0.0000 0.5000 0.0000
Sn1 Sn 0.0000 0.0000 0.5000
N1 N 0.5000 0.5000 0.5000

Entry 5:
# AcPr4Nd2Er, optimized geometry, DFT PBE
# Formation energy in eV per atom: 0.020
# Crystal system: orthorhombic
data_AcPr4Nd2Er
_cell_length_a 5.2332
_cell_length_b 5.2629
_cell_length_c 10.5243
_cell_angle_alpha 90.00
_cell_angle_beta 90.00
_cell_angle_gamma 90.00
_space_group_name_H-M_alt 'P m m m'
_space_group_IT_number 47
_space_group_name_Hall '-P 2 2'
loop_
_atom_site_label
_atom_site_type_symbol
_atom_site_fract_x
_atom_site_fract_y
_atom_site_fract_z
Ac1 Ac 0.0000 0.0000 0.0000
Pr1 Pr 0.0000 0.5000 0.2582
Pr2 Pr 0.5000 0.0000 0.2578
Nd1 Nd 0.0000 0.0000 0.5000
Nd2 Nd 0.5000 0.5000 0.0000
Er1 Er 0.5000 0.5000 0.5000

Entry 6:
# Zn3P2H7O12, optimized geometry, DFT PBE
# Crystal system: orthorhombic
data_Zn3P2H7O12
_cell_length_a 5.0376
_cell_length_b 10.7471
_cell_length_c 18.3928
_cell_angle_alpha 90.00
_cell_angle_beta 90.00
_cell_angle_gamma 90.00
_space_group_name_H-M_alt 'P 21 21 21'
_space_group_IT_number 19
_space_group_name_Hall 'P 2ac 2ab'
loop_
_atom_site_label
_atom_site_type_symbol
_atom_site_fract_x
_atom_site_fract_y
_atom_site_fract_z
Zn1 Zn 0.0055 0.1451 0.4961
Zn2 Zn 0.0648 0.6427 0.4966
Zn3 Zn 0.2044 0.7654 0.2421
P1 P 0.0239 0.4052 0.4075
P2 P 0.0502 0.8932 0.4020
H1 H 0.0357 0.2538 0.8630
H2 H 0.0442 0.0351 0.2438
H3 H 0.0693 0.8734 0.8212
H4 H 0.1299 0.3935 0.8558
H5 H 0.1701 0.6194 0.7297
H6 H 0.2072 0.4067 0.6382
H7 H 0.2416 0.1377 0.2140
O1 O 0.0122 0.3596 0.1773
O2 O 0.0131 0.6028 0.7612
O3 O 0.0422 0.3245 0.8284
O4 O 0.0438 0.3687 0.3265
O5 O 0.0618 0.5247 0.0817
O6 O 0.0932 0.2997 0.0438
O7 O 0.1019 0.1214 0.2514
O8 O 0.1033 0.3405 0.6632
O9 O 0.1465 0.1170 0.9159
O10 O 0.1607 0.3039 0.4581
O11 O 0.1763 0.5293 0.4204
O12 O 0.2330 0.0796 0.5704

Entry 7:
# Sm7Dy12In, optimized geometry, DFT PBE
# Formation energy in eV per atom: 0.174
# Crystal system: trigonal
data_Sm7Dy12In
_cell_length_a 12.2701
_cell_length_b 12.2701
_cell_length_c 15.3825
_cell_angle_alpha 90.00
_cell_angle_beta 90.00
_cell_angle_gamma 120.00
_space_group_name_H-M_alt 'R -3'
_space_group_IT_number 148
_space_group_name_Hall '-R 3'
loop_
_atom_site_label
_atom_site_type_symbol
_atom_site_fract_x
_atom_site_fract_y
_atom_site_fract_z
Sm1 Sm 0.0000 0.0000 0.0000
Sm2 Sm 0.0116 0.5760 0.7019
Dy1 Dy 0.0316 0.8453 0.8099
Dy2 Dy 0.0703 0.2592 0.4241
In1 In 0.0000 0.0000 0.5000

Entry 8:
# PaZnFe2, optimized geometry, DFT PBE
# Formation energy in eV per atom: -0.097
# Crystal system: tetragonal
data_PaZnFe2
_cell_length_a 4.1439
_cell_length_b 4.1439
_cell_length_c 3.4346
_cell_angle_alpha 90.00
_cell_angle_beta 90.00
_cell_angle_gamma 90.00
_space_group_name_H-M_alt 'P 4/m m m'
_space_group_IT_number 123
_space_group_name_Hall '-P 4 2'
loop_
_atom_site_label
_atom_site_type_symbol
_atom_site_fract_x
_atom_site_fract_y
_atom_site_fract_z
Pa1 Pa 0.0000 0.0000 0.0000
Zn1 Zn 0.5000 0.5000 0.0000
Fe1 Fe 0.0000 0.5000 0.5000

no.,calculated volume (Å³ per atom),energy (eV/cell),magnetization (μB per formula unit)
1,15.8,-206.962,0.00
2,26.0,-8.890,0.00
3,9.8,-26.225,0.00
4,22.7,-30.893,1.45
5,36.2,-37.168,0.00
6,10.4,-528.822,1.09
7,33.4,-262.535,0.00
8,14.7,-28.083,0.44